## YBiF3 (PBE)

Data for an optimized crystal structure of YBiF3.

a = 4.7673 Å, b = 4.7673 Å, c = 4.7673 Å
α = 90.00°, β = 90.00°, γ = 90.00°
Space group Pm-3m (No. 221)
Unique sites:
1 Y 0.0000 0.0000 0.0000 (multiplicity 1)
2 Bi 0.5000 0.5000 0.5000 (multiplicity 1)
3 F 0.0000 0.5000 0.5000 (multiplicity 3)

Output
crystal system	cubic
DFT total energy	-4.649	eV/atom
N(E_F)	4.48	states/eV/f.u.